No. 1
VASP calculation (SCAN) on a crystal of Li2TiPd relaxed with PBEsol.

Properties
Density of states at the Fermi level in states/eV/atom: 0.77
Total magnetization in μB/cell: 9.3
ΔH_f (0 K) in meV per atom: 121.0
DFT total energy in eV per atom: -13.27

a b c (Å): 7.035 7.035 5.060
angles (deg): 90.00 90.00 90.00
Space group I-42d (No. 122)
Symmetry-distinct sites (fractional):
Li  0.222  0.750  0.125 [8 per cell]
Ti  0.000  0.000  0.500 [4 per cell]
Pd  0.000  0.000  0.000 [4 per cell]

No. 2
VASP calculation (SCAN) on a crystal of LiTiTl2Pd relaxed with PBEsol.

Properties
Density of states at the Fermi level in states/eV/atom: 0.57
Total magnetization in μB/cell: 1.7
ΔH_f (0 K) in meV per atom: 249.3
DFT total energy in eV per atom: -38.93

a b c (Å): 5.202 5.202 4.837
angles (deg): 90.00 90.00 90.00
Space group P4/mmm (No. 123)
Symmetry-distinct sites (fractional):
Li  0.000  0.000  0.000 [1 per cell]
Ti  0.500  0.500  0.000 [1 per cell]
Tl  0.000  0.500  0.500 [2 per cell]
Pd  0.500  0.500  0.500 [1 per cell]

No. 3
VASP calculation (SCAN) on a crystal of LiTlPd3 relaxed with PBEsol.

Properties
Density of states at the Fermi level in states/eV/atom: 0.12
Total magnetization in μB/cell: 0.0
ΔH_f (0 K) in meV per atom: 70.5
DFT total energy in eV per atom: -34.54

a b c (Å): 4.273 4.273 4.273
angles (deg): 90.00 90.00 90.00
Space group Pm-3m (No. 221)
Symmetry-distinct sites (fractional):
Li  0.000  0.000  0.000 [1 per cell]
Tl  0.500  0.500  0.500 [1 per cell]
Pd  0.000  0.000  0.500 [3 per cell]

No. 4
VASP calculation (SCAN) on a crystal of LiTl2Pd relaxed with PBEsol.

Properties
Density of states at the Fermi level in states/eV/atom: 0.29
Total magnetization in μB/cell: 0.0
ΔH_f (0 K) in meV per atom: -264.4
DFT total energy in eV per atom: -45.23

a b c (Å): 6.705 6.705 6.705
angles (deg): 90.00 90.00 90.00
Space group Fm-3m (No. 225)
Symmetry-distinct sites (fractional):
Li  0.000  0.000  0.000 [4 per cell]
Tl  0.250  0.250  0.250 [8 per cell]
Pd  0.000  0.000  0.500 [4 per cell]

No. 5
VASP calculation (SCAN) on a crystal of LiTmPd2 relaxed with PBEsol.

Properties
Density of states at the Fermi level in states/eV/atom: 0.34
Total magnetization in μB/cell: 0.0
ΔH_f (0 K) in meV per atom: -778.0
DFT total energy in eV per atom: -30.72

a b c (Å): 6.465 6.465 6.465
angles (deg): 90.00 90.00 90.00
Space group Fm-3m (No. 225)
Symmetry-distinct sites (fractional):
Li  0.000  0.000  0.000 [4 per cell]
Tm  0.000  0.000  0.500 [4 per cell]
Pd  0.250  0.250  0.250 [8 per cell]

No. 6
VASP calculation (SCAN) on a crystal of Li3YPd relaxed with PBEsol.

Properties
Density of states at the Fermi level in states/eV/atom: 0.61
Total magnetization in μB/cell: 0.0
ΔH_f (0 K) in meV per atom: -15.3
DFT total energy in eV per atom: -13.57

a b c (Å): 4.627 4.627 4.627
angles (deg): 90.00 90.00 90.00
Space group Pm-3m (No. 221)
Symmetry-distinct sites (fractional):
Li  0.000  0.000  0.500 [3 per cell]
Y  0.500  0.500  0.500 [1 per cell]
Pd  0.000  0.000  0.000 [1 per cell]

No. 7
VASP calculation (SCAN) on a crystal of Li2YPd2 relaxed with PBEsol.

Properties
Density of states at the Fermi level in states/eV/atom: 0.32
Total magnetization in μB/cell: 0.0
ΔH_f (0 K) in meV per atom: -603.2
E above lowest polymorph in eV/atom: 0.000
DFT total energy in eV per atom: -20.24

a b c (Å): 3.684 3.684 12.951
angles (deg): 90.00 90.00 90.00
Space group I4/mmm (No. 139)
Symmetry-distinct sites (fractional):
Li  0.000  0.500  0.250 [4 per cell]
Y  0.000  0.000  0.000 [2 per cell]
Pd  0.000  0.000  0.396 [4 per cell]

No. 8
VASP calculation (SCAN) on a crystal of Li2YPd2 relaxed with PBEsol.

Properties
Density of states at the Fermi level in states/eV/atom: 0.36
Total magnetization in μB/cell: 0.0
ΔH_f (0 K) in meV per atom: -529.5
E above lowest polymorph in eV/atom: 0.074
DFT total energy in eV per atom: -20.16

a b c (Å): 7.204 7.204 3.059
angles (deg): 90.00 90.00 90.00
Space group P4/mbm (No. 127)
Symmetry-distinct sites (fractional):
Li  0.112  0.388  0.000 [4 per cell]
Y  0.000  0.000  0.000 [2 per cell]
Pd  0.184  0.684  0.500 [4 per cell]

No. 9
VASP calculation (SCAN) on a crystal of LiYPd3 relaxed with PBEsol.

Properties
Density of states at the Fermi level in states/eV/atom: 0.19
Total magnetization in μB/cell: 0.0
ΔH_f (0 K) in meV per atom: -545.0
DFT total energy in eV per atom: -26.26

a b c (Å): 4.313 4.313 4.313
angles (deg): 90.00 90.00 90.00
Space group Pm-3m (No. 221)
Symmetry-distinct sites (fractional):
Li  0.000  0.000  0.000 [1 per cell]
Y  0.500  0.500  0.500 [1 per cell]
Pd  0.000  0.000  0.500 [3 per cell]

No. 10
VASP calculation (SCAN) on a crystal of LiZn2Pd relaxed with PBEsol.

Properties
Density of states at the Fermi level in states/eV/atom: 0.32
Total magnetization in μB/cell: 0.0
ΔH_f (0 K) in meV per atom: -473.1
DFT total energy in eV per atom: -16.02

a b c (Å): 6.004 6.004 6.004
angles (deg): 90.00 90.00 90.00
Space group Fm-3m (No. 225)
Symmetry-distinct sites (fractional):
Li  0.000  0.000  0.000 [4 per cell]
Zn  0.250  0.250  0.250 [8 per cell]
Pd  0.000  0.000  0.500 [4 per cell]

No. 11
VASP calculation (SCAN) on a crystal of LiZn3Pd relaxed with PBEsol.

Properties
Density of states at the Fermi level in states/eV/atom: 0.30
Total magnetization in μB/cell: 0.0
ΔH_f (0 K) in meV per atom: -10.4
DFT total energy in eV per atom: -15.15

a b c (Å): 4.746 4.746 4.746
angles (deg): 90.00 90.00 90.00
Space group Pm-3m (No. 221)
Symmetry-distinct sites (fractional):
Li  0.000  0.000  0.000 [1 per cell]
Zn  0.000  0.500  0.500 [3 per cell]
Pd  0.500  0.500  0.500 [1 per cell]

No. 12
VASP calculation (SCAN) on a crystal of Li2ZnPd2 relaxed with PBEsol.

Properties
Density of states at the Fermi level in states/eV/atom: 0.20
Total magnetization in μB/cell: 0.0
ΔH_f (0 K) in meV per atom: -398.1
DFT total energy in eV per atom: -17.17

a b c (Å): 6.366 6.366 3.701
angles (deg): 90.00 90.00 90.00
Space group P4/mbm (No. 127)
Symmetry-distinct sites (fractional):
Li  0.159  0.341  0.000 [4 per cell]
Zn  0.000  0.000  0.500 [2 per cell]
Pd  0.144  0.644  0.500 [4 per cell]